DFT (PBE) results for PmErPO after structural relaxation.

a = 4.3430 Å, b = 4.3430 Å, c = 8.7548 Å
α = 90.00°, β = 90.00°, γ = 90.00°
Last column: nearest neighbours and their distance in Å.
Fractional positions:
1 O 0.5000 0.5000 0.0000  4 Pm 2.38
2 Pm 0.0000 0.5000 0.1114  4 O 2.38
3 Er 0.5000 0.5000 0.5000  4 P 2.72
4 P 0.0000 0.5000 0.6868  4 Er 2.72
5 Er 0.0000 0.0000 0.5000  4 P 2.72
6 O 0.0000 0.0000 0.0000  4 Pm 2.38
7 P 0.5000 0.0000 0.3132  4 Er 2.72
8 Pm 0.5000 0.0000 0.8886  4 O 2.38

Computed properties:
- energy above the most stable polymorph in this dataset (meV/atom) = 79
- magnetization (μB/f.u.) = 0.002
- space group = No. 129
- electronic total energy (Ha/atom) = -0.25212

***

DFT (PBE) results for PmErPO after structural relaxation.

a = 4.1697 Å, b = 7.6136 Å, c = 5.4618 Å
α = 90.00°, β = 90.00°, γ = 90.00°
Last column: nearest neighbours and their distance in Å.
Fractional positions:
1 O 0.5000 0.3230 0.4246  2 Er 2.26, 1 Pm 2.37
2 Pm 0.5000 0.6342 0.4523  2 O 2.37-2.60
3 Pm 0.5000 0.3658 0.9523  2 O 2.37-2.60
4 P 0.0000 0.1445 0.9382  3 Er 2.68-2.78, 2 Pm 2.68
5 Er 0.0000 0.7925 0.9389  2 O 2.26
6 O 0.5000 0.6770 0.9246  2 Er 2.26, 1 Pm 2.37
7 Er 0.0000 0.2075 0.4389  2 O 2.26
8 P 0.0000 0.8555 0.4382  3 Er 2.68-2.78, 2 Pm 2.68

Computed properties:
- energy above the most stable polymorph in this dataset (meV/atom) = 44
- magnetization (μB/f.u.) = 0.009
- space group = No. 26
- electronic total energy (Ha/atom) = -0.25340

***

DFT (PBE) results for PmErPO after structural relaxation.

a = 4.3067 Å, b = 4.3067 Å, c = 8.7034 Å
α = 90.00°, β = 90.00°, γ = 90.00°
Last column: nearest neighbours and their distance in Å.
Fractional positions:
1 O 0.2500 0.7500 0.0000  4 Er 2.30-2.31
2 Pm 0.7500 0.2500 0.5000  4 P 2.82, 4 Pm 3.05
3 P 0.7500 0.7500 0.2901  4 Pm 2.82
4 P 0.2500 0.2500 0.7099  4 Pm 2.82
5 Er 0.7500 0.7500 0.9055  4 O 2.30-2.31
6 Er 0.2500 0.2500 0.0945  4 O 2.30-2.31
7 O 0.7500 0.2500 0.0000  4 Er 2.30-2.31
8 Pm 0.2500 0.7500 0.5000  4 P 2.82, 4 Pm 3.05

Computed properties:
- energy above the most stable polymorph in this dataset (meV/atom) = 204
- magnetization (μB/f.u.) = 0.001
- space group = No. 129
- electronic total energy (Ha/atom) = -0.24750

***

DFT (PBE) results for ErPPtO after structural relaxation.

a = 5.6525 Å, b = 5.6525 Å, c = 4.4460 Å
α = 90.00°, β = 90.00°, γ = 90.00°
Last column: nearest neighbours and their distance in Å.
Fractional positions:
1 O 0.5000 0.5000 0.0000  2 Er 2.22
2 Er 0.5000 0.5000 0.5000  2 O 2.22
3 P 0.0000 0.5000 0.4982  2 Pt 2.22
4 O 0.0000 0.0000 0.0000  2 Er 2.22
5 P 0.5000 0.0000 0.5018  2 Pt 2.22
6 Pt 0.0000 0.5000 0.9983  2 P 2.22
7 Pt 0.5000 0.0000 0.0017  2 P 2.22
8 Er 0.0000 0.0000 0.5000  2 O 2.22

Computed properties:
- energy above the most stable polymorph in this dataset (meV/atom) = 836
- magnetization (μB/f.u.) = 0.000
- space group = No. 129
- electronic total energy (Ha/atom) = -0.23022

***

DFT (PBE) results for ErPPtO after structural relaxation.

a = 4.5046 Å, b = 3.9956 Å, c = 6.9249 Å
α = 90.00°, β = 90.00°, γ = 90.00°
Last column: nearest neighbours and their distance in Å.
Fractional positions:
1 Pt 0.0000 0.7488 0.4803  3 P 2.31
2 O 0.5000 0.2479 0.3131  2 P 2.25, 3 Er 2.30-2.31
3 P 0.0000 0.2484 0.3132  2 O 2.25, 3 Pt 2.31
4 P 0.0000 0.7516 0.8132  2 O 2.25, 3 Pt 2.31
5 Er 0.5000 0.7491 0.1474  3 O 2.30-2.31
6 O 0.5000 0.7521 0.8131  2 P 2.25, 3 Er 2.30-2.31
7 Pt 0.0000 0.2512 0.9803  3 P 2.31
8 Er 0.5000 0.2509 0.6474  3 O 2.30-2.31

Computed properties:
- energy above the most stable polymorph in this dataset (meV/atom) = 275
- magnetization (μB/f.u.) = 0.007
- space group = No. 26
- electronic total energy (Ha/atom) = -0.25082

***

DFT (PBE) results for ErPPtO after structural relaxation.

a = 4.0795 Å, b = 4.0795 Å, c = 7.6283 Å
α = 90.00°, β = 90.00°, γ = 90.00°
Last column: nearest neighbours and their distance in Å.
Fractional positions:
1 Er 0.5000 0.0000 0.8705  4 O 2.27
2 O 0.5000 0.5000 0.0000  4 Er 2.27
3 Pt 0.0000 0.0000 0.5000  4 P 2.41
4 Er 0.0000 0.5000 0.1295  4 O 2.27
5 Pt 0.5000 0.5000 0.5000  4 P 2.41
6 P 0.5000 0.0000 0.3323  4 Pt 2.41
7 P 0.0000 0.5000 0.6677  4 Pt 2.41
8 O 0.0000 0.0000 0.0000  4 Er 2.27

Computed properties:
- energy above the most stable polymorph in this dataset (meV/atom) = 0
- magnetization (μB/f.u.) = 0.001
- space group = No. 129
- electronic total energy (Ha/atom) = -0.26094

***

DFT (PBE) results for ErPPtO after structural relaxation.

a = 3.4974 Å, b = 7.4986 Å, c = 5.4206 Å
α = 90.00°, β = 90.00°, γ = 90.00°
Last column: nearest neighbours and their distance in Å.
Fractional positions:
1 Er 0.0000 0.2067 0.9606  2 O 2.09
2 Pt 0.5000 0.2312 0.4422  1 O 2.23, 2 P 2.27
3 O 0.5000 0.9366 0.3852  2 Er 2.09, 1 Pt 2.23
4 P 0.0000 0.4229 0.4660  2 Pt 2.27
5 P 0.0000 0.5771 0.9660  2 Pt 2.27
6 Er 0.0000 0.7933 0.4606  2 O 2.09
7 Pt 0.5000 0.7688 0.9422  1 O 2.23, 2 P 2.27
8 O 0.5000 0.0634 0.8852  2 Er 2.09, 1 Pt 2.23

Computed properties:
- energy above the most stable polymorph in this dataset (meV/atom) = 451
- magnetization (μB/f.u.) = 0.000
- space group = No. 26
- electronic total energy (Ha/atom) = -0.24438

***

DFT (PBE) results for RbErPO after structural relaxation.

a = 4.0835 Å, b = 4.0835 Å, c = 10.5685 Å
α = 90.00°, β = 90.00°, γ = 90.00°
Last column: nearest neighbours and their distance in Å.
Fractional positions:
1 O 0.7500 0.2500 0.0000  4 Er 2.26
2 P 0.7500 0.7500 0.2621  4 Rb 3.24, 4 Er 3.41, 4 O 3.44
3 O 0.2500 0.7500 0.0000  4 Er 2.26
4 P 0.2500 0.2500 0.7379  4 Rb 3.24, 4 Er 3.41, 4 O 3.44
5 Er 0.7500 0.7500 0.9090  4 O 2.26
6 Rb 0.7500 0.2500 0.5000  4 Rb 2.89
7 Er 0.2500 0.2500 0.0910  4 O 2.26
8 Rb 0.2500 0.7500 0.5000  4 Rb 2.89

Computed properties:
- energy above the most stable polymorph in this dataset (meV/atom) = 239
- magnetization (μB/f.u.) = 0.005
- space group = No. 129
- electronic total energy (Ha/atom) = -0.19233